(1)
Computed, not measured: a relaxed KRb2Ag crystal at the GGA-PBE level of DFT.

Summary:
Electronic total energy: -5.5 eV/cell
Symmetry: R-3m, No. 166
Formation enthalpy at 0 K: 0.10 eV per atom

Cell: 13.5002 13.5002 13.5002 Å, 20.72 20.72 20.72°
Atoms (fractional coordinates):
K 0.0000 0.0000 0.0000
Rb 0.1112 0.1112 0.1112
Rb 0.8888 0.8888 0.8888
Ag 0.5000 0.5000 0.5000

(2)
Computed, not measured: a relaxed LaPr3Sm6Dy2 crystal at the GGA-PBE level of DFT.

Summary:
Electronic total energy: -56.6 eV/cell
Symmetry: C2/m, No. 12
Formation enthalpy at 0 K: 0.02 eV per atom

Cell: 6.3186 6.3186 12.1163 Å, 95.00 95.00 119.99°
Atoms (fractional coordinates):
La 0.0000 0.0000 0.0000
Pr 0.1670 0.8330 0.5000
Pr 0.5000 0.5000 0.5000
Pr 0.8330 0.1670 0.5000
Sm 0.0830 0.4176 0.2476
Sm 0.2517 0.2517 0.7521
Sm 0.4176 0.0830 0.2476
Sm 0.5824 0.9170 0.7524
Sm 0.7483 0.7483 0.2479
Sm 0.9170 0.5824 0.7524
Dy 0.3334 0.6666 0.0000
Dy 0.6666 0.3334 0.0000

(3)
Computed, not measured: a relaxed TiIn crystal at the GGA-PBE level of DFT.

Summary:
Electronic total energy: -48.0 eV/cell
Symmetry: Pm-3n, No. 223
Formation enthalpy at 0 K: 1.32 eV per atom

Cell: 7.6817 7.6817 7.6817 Å, 90.00 90.00 90.00°
Atoms (fractional coordinates):
Ti 0.0000 0.2500 0.5000
Ti 0.0000 0.7500 0.5000
Ti 0.2500 0.5000 0.0000
Ti 0.5000 0.0000 0.2500
Ti 0.5000 0.0000 0.7500
Ti 0.7500 0.5000 0.0000
In 0.0000 0.5000 0.2500
In 0.0000 0.5000 0.7500
In 0.2500 0.0000 0.5000
In 0.5000 0.2500 0.0000
In 0.5000 0.7500 0.0000
In 0.7500 0.0000 0.5000

(4)
Computed, not measured: a relaxed CuSiMo2 crystal at the GGA-PBE level of DFT.

Summary:
Electronic total energy: -30.9 eV/cell
Symmetry: P4/mmm, No. 123
Formation energy (no corrections): 70.6 meV per atom

Cell: 3.7809 3.7809 3.9657 Å, 90.00 90.00 90.00°
Atoms (fractional coordinates):
Cu 0.0000 0.0000 0.0000
Si 0.5000 0.5000 0.0000
Mo 0.0000 0.5000 0.5000
Mo 0.5000 0.0000 0.5000

(5)
Computed, not measured: a relaxed NaHoZnAg crystal at the GGA-PBE level of DFT.

Summary:
Electronic total energy: -10.3 eV/cell
Symmetry: F-43m, No. 216
Formation enthalpy at 0 K: -0.07 eV per atom

Cell: 5.0053 5.0053 5.0053 Å, 60.00 60.00 60.00°
Atoms (fractional coordinates):
Na 0.0000 0.0000 0.0000
Ho 0.5000 0.5000 0.5000
Zn 0.7500 0.7500 0.7500
Ag 0.2500 0.2500 0.2500

(6)
Computed, not measured: a relaxed BaLaNF2 crystal at the GGA-PBE level of DFT.

Summary:
Electronic total energy: -26.6 eV/cell
Symmetry: P4/mmm, No. 123
Energy relative to the lowest polymorph listed for this composition: 867 meV/atom
Formation energy (no corrections): -1545.2 meV per atom

Cell: 4.7003 4.7003 5.5611 Å, 90.00 90.00 90.00°
Atoms (fractional coordinates):
Ba 0.0000 0.0000 0.0000
La 0.5000 0.5000 0.5000
N 0.0000 0.0000 0.5000
F 0.0000 0.5000 0.0000
F 0.5000 0.0000 0.0000

(7)
Computed, not measured: a relaxed CsTlHSe crystal at the GGA-PBE level of DFT.

Summary:
Electronic total energy: -11.3 eV/cell
Symmetry: Amm2, No. 38
Energy relative to the lowest polymorph listed for this composition: 44 meV/atom

Cell: 4.1994 6.8114 6.8114 Å, 37.49 90.00 90.00°
Atoms (fractional coordinates):
Cs 0.0000 0.0000 0.0000
Tl 0.5000 0.7179 0.7179
H 0.0000 0.6795 0.6795
Se 0.5000 0.3542 0.3542